[1]
Entry from Alexandria via LeMat-Bulk: a geometry-optimized SnBRu3 structure (PBE).

Computed properties:
Total energy in eV per cell: -38.83

Lattice parameters (Å, degrees): 4.1786 4.1786 4.1786 90.00 90.00 90.00
Positions (direct):
Sn (0.0000, 0.0000, 0.0000)
B (0.5000, 0.5000, 0.5000)
Ru (0.0000, 0.5000, 0.5000)
Ru (0.5000, 0.0000, 0.5000)
Ru (0.5000, 0.5000, 0.0000)

[2]
Entry from Alexandria via LeMat-Bulk: a geometry-optimized SnBRu3 structure (PBE).

Computed properties:
Total energy in eV per cell: -24.90

Lattice parameters (Å, degrees): 4.8456 4.8456 4.8456 90.00 90.00 90.00
Positions (direct):
Sn (0.0000, 0.0000, 0.0000)
B (0.5000, 0.5000, 0.5000)
Ru (0.0000, 0.0000, 0.5000)
Ru (0.0000, 0.5000, 0.0000)
Ru (0.5000, 0.0000, 0.0000)

[3]
Entry from Alexandria via LeMat-Bulk: a geometry-optimized SnBRu2 structure (PBE).

Computed properties:
Total energy in eV per cell: -29.63

Lattice parameters (Å, degrees): 6.7946 6.7946 6.7946 27.09 27.09 27.09
Positions (direct):
Sn (0.0000, 0.0000, 0.0000)
B (0.5000, 0.5000, 0.5000)
Ru (0.2234, 0.2234, 0.2234)
Ru (0.7766, 0.7766, 0.7766)

[4]
Entry from Alexandria via LeMat-Bulk: a geometry-optimized SnB2Ru structure (PBE).

Computed properties:
Total energy in eV per cell: -48.37

Lattice parameters (Å, degrees): 6.0522 6.0522 6.0522 129.88 129.88 73.59
Positions (direct):
Sn (0.0000, 0.0000, 0.0000)
Sn (0.7500, 0.2500, 0.5000)
B (0.1848, 0.6250, 0.0598)
B (0.3750, 0.4348, 0.5598)
B (0.5652, 0.1250, 0.9402)
B (0.8750, 0.8152, 0.4402)
Ru (0.2500, 0.7500, 0.5000)
Ru (0.5000, 0.5000, 0.0000)

[5]
Entry from Alexandria via LeMat-Bulk: a geometry-optimized SnB3Ru structure (PBE).

Computed properties:
Total energy in eV per cell: -28.17

Lattice parameters (Å, degrees): 4.1607 4.1607 4.1607 90.00 90.00 90.00
Positions (direct):
Sn (0.0000, 0.0000, 0.0000)
B (0.0000, 0.5000, 0.5000)
B (0.5000, 0.0000, 0.5000)
B (0.5000, 0.5000, 0.0000)
Ru (0.5000, 0.5000, 0.5000)

[6]
Entry from Alexandria via LeMat-Bulk: a geometry-optimized SnBRu2 structure (PBE).

Computed properties:
Total energy in eV per cell: -27.43

Lattice parameters (Å, degrees): 4.2727 4.2727 4.2727 60.00 60.00 60.00
Positions (direct):
Sn (0.0000, 0.0000, 0.0000)
B (0.5000, 0.5000, 0.5000)
Ru (0.2500, 0.2500, 0.2500)
Ru (0.7500, 0.7500, 0.7500)

[7]
Entry from Alexandria via LeMat-Bulk: a geometry-optimized Ta2SnB2Ru5 structure (PBE).

Computed properties:
Total energy in eV per cell: -183.87

Lattice parameters (Å, degrees): 9.4902 9.4902 3.0247 90.00 90.00 90.00
Positions (direct):
Ta (0.1766, 0.3234, 0.0000)
Ta (0.3234, 0.8234, 0.0000)
Ta (0.6766, 0.1766, 0.0000)
Ta (0.8234, 0.6766, 0.0000)
Sn (0.0000, 0.0000, 0.0000)
Sn (0.5000, 0.5000, 0.0000)
B (0.1219, 0.6219, 0.0000)
B (0.3781, 0.1219, 0.0000)
B (0.6219, 0.8781, 0.0000)
B (0.8781, 0.3781, 0.0000)
Ru (0.0000, 0.5000, 0.5000)
Ru (0.0707, 0.7788, 0.5000)
Ru (0.2212, 0.0707, 0.5000)
Ru (0.2788, 0.5707, 0.5000)
Ru (0.4293, 0.2788, 0.5000)
Ru (0.5000, 0.0000, 0.5000)
Ru (0.5707, 0.7212, 0.5000)
Ru (0.7212, 0.4293, 0.5000)
Ru (0.7788, 0.9293, 0.5000)
Ru (0.9293, 0.2212, 0.5000)

[8]
Entry from Alexandria via LeMat-Bulk: a geometry-optimized Tb3Sn2BRu3 structure (PBE).

Computed properties:
Total energy in eV per cell: -60.35

Lattice parameters (Å, degrees): 7.5370 7.5370 3.5821 90.00 90.00 120.00
Positions (direct):
Tb (0.0000, 0.6504, 0.0000)
Tb (0.3496, 0.3496, 0.0000)
Tb (0.6504, 0.0000, 0.0000)
Sn (0.3333, 0.6667, 0.5000)
Sn (0.6667, 0.3333, 0.5000)
B (0.0000, 0.0000, 0.0000)
Ru (0.0000, 0.2149, 0.5000)
Ru (0.2149, 0.0000, 0.5000)
Ru (0.7851, 0.7851, 0.5000)

[9]
Entry from Alexandria via LeMat-Bulk: a geometry-optimized Tm3Sn2BRu3 structure (PBE).

Computed properties:
Total energy in eV per cell: -60.50

Lattice parameters (Å, degrees): 7.4466 7.4466 3.5138 90.00 90.00 120.00
Positions (direct):
Tm (0.0000, 0.3484, 0.0000)
Tm (0.3484, 0.0000, 0.0000)
Tm (0.6516, 0.6516, 0.0000)
Sn (0.3333, 0.6667, 0.5000)
Sn (0.6667, 0.3333, 0.5000)
B (0.0000, 0.0000, 0.0000)
Ru (0.0000, 0.7815, 0.5000)
Ru (0.2185, 0.2185, 0.5000)
Ru (0.7815, 0.0000, 0.5000)

[10]
Entry from Alexandria via LeMat-Bulk: a geometry-optimized Sr2B8Ru7 structure (PBE).

Computed properties:
Total energy in eV per cell: -256.37

Lattice parameters (Å, degrees): 6.4746 6.4746 10.2377 90.00 90.00 90.00
Positions (direct):
Sr (0.1086, 0.7327, 0.0000)
Sr (0.2673, 0.1086, 0.5000)
Sr (0.7327, 0.8914, 0.5000)
Sr (0.8914, 0.2673, 0.0000)
B (0.0000, 0.5000, 0.4117)
B (0.0000, 0.5000, 0.5883)
B (0.1025, 0.7236, 0.3305)
B (0.1025, 0.7236, 0.6695)
B (0.2764, 0.1025, 0.1695)
B (0.2764, 0.1025, 0.8305)
B (0.5000, 0.0000, 0.0883)
B (0.5000, 0.0000, 0.9117)
B (0.5000, 0.5000, 0.1590)
B (0.5000, 0.5000, 0.3410)
B (0.5000, 0.5000, 0.6590)
B (0.5000, 0.5000, 0.8410)
B (0.7236, 0.8975, 0.1695)
B (0.7236, 0.8975, 0.8305)
B (0.8975, 0.2764, 0.3305)
B (0.8975, 0.2764, 0.6695)
Ru (0.0000, 0.0000, 0.2500)
Ru (0.0000, 0.0000, 0.7500)
Ru (0.2059, 0.3946, 0.2562)
Ru (0.2059, 0.3946, 0.7438)
Ru (0.2869, 0.5942, 0.5000)
Ru (0.3946, 0.7941, 0.2438)
Ru (0.3946, 0.7941, 0.7562)
Ru (0.4058, 0.2869, 0.0000)
Ru (0.5942, 0.7131, 0.0000)
Ru (0.6054, 0.2059, 0.2438)
Ru (0.6054, 0.2059, 0.7562)
Ru (0.7131, 0.4058, 0.5000)
Ru (0.7941, 0.6054, 0.2562)
Ru (0.7941, 0.6054, 0.7438)

[11]
Entry from Alexandria via LeMat-Bulk: a geometry-optimized SrBRu structure (PBE).

Computed properties:
Total energy in eV per cell: -36.99

Lattice parameters (Å, degrees): 4.0718 4.0718 8.7109 90.00 90.00 90.00
Positions (direct):
Sr (0.2500, 0.2500, 0.2176)
Sr (0.7500, 0.7500, 0.7824)
B (0.2500, 0.2500, 0.5663)
B (0.7500, 0.7500, 0.4337)
Ru (0.2500, 0.7500, 0.5000)
Ru (0.7500, 0.2500, 0.5000)

[12]
Entry from Alexandria via LeMat-Bulk: a geometry-optimized Sr2BTeRu structure (PBE).

Computed properties:
E_form (uncorrected) in eV/atom: -0.30
Total energy in eV per cell: -23.97

Lattice parameters (Å, degrees): 5.6562 5.6562 4.0384 90.00 90.00 90.00
Positions (direct):
Sr (0.0000, 0.5000, 0.0000)
Sr (0.5000, 0.0000, 0.0000)
B (0.0000, 0.0000, 0.0000)
Te (0.5000, 0.5000, 0.5000)
Ru (0.0000, 0.0000, 0.5000)

total energy of number 1 (SnBRu3)?
-38.83 eV per cell

total energy of number 4 (SnB2Ru)?
-48.37 eV per cell

Which of these has the highest total energy?
Sr2BTeRu

The lowest total energy belongs to which entry?
Sr2B8Ru7